DFT (PBE-GGA) results for crystalline Si5Hg7 at its relaxed geometry.

It has space group I4mm (No. 107), with a = 7.1090 Å, b = 7.1090 Å, c = 11.4759 Å, α = 90.00°, β = 90.00° and γ = 90.00°. The distinct sites, in fractional coordinates, are Si at (0.0000, 0.0000, 0.0000), Si at (0.1873, 0.1873, 0.8658), Hg at (0.0000, 0.0000, 0.2344), Hg at (0.0000, 0.2910, 0.5267) and Hg at (0.0000, 0.5000, 0.2522).

Its theoretical density is 8.84 g/cm3. The calculated total energy comes out at -2.034 eV per atom. For the formation energy without anion corrections, the calculation gives 0.401 eV/atom.


DFT (PBE-GGA) results for crystalline Si3Hg2 at its relaxed geometry.

It has space group C2 (No. 5), with a = 11.3476 Å, b = 6.9318 Å, c = 6.9314 Å, α = 90.00°, β = 127.63° and γ = 90.00°. The distinct sites, in fractional coordinates, are Si at (0.0000, 0.0000, 0.0000), Si at (0.0000, 0.3353, 0.5000), Si at (0.1252, 0.1675, 0.8750), Si at (0.2492, 0.4178, 0.1672), Hg at (0.0000, 0.6140, 0.0000), Hg at (0.0000, 0.7235, 0.5000) and Hg at (0.2498, 0.4184, 0.5550).

The value obtained for the energy relative to the lowest polymorph listed for this composition is 0.000 eV per atom. Its theoretical density is 7.47 g/cm3. The calculated total energy comes out at -3.130 eV per atom. For the formation energy without anion corrections, the calculation gives 0.245 eV/atom.


DFT (PBE-GGA) results for crystalline SiHg2 at its relaxed geometry.

It has space group P-31m (No. 162), with a = 6.6585 Å, b = 6.6585 Å, c = 6.1039 Å, α = 90.00°, β = 90.00° and γ = 120.00°. The distinct sites, in fractional coordinates, are Si at (0.0000, 0.0000, 0.0000), Si at (0.3333, 0.6667, 0.5000) and Hg at (0.0000, 0.3162, 0.2600).

The value obtained for the energy relative to the lowest polymorph listed for this composition is 0.166 eV per atom. Its theoretical density is 9.12 g/cm3. The calculated total energy comes out at -1.666 eV per atom. For the formation energy without anion corrections, the calculation gives 0.343 eV/atom.


DFT (PBE-GGA) results for crystalline Si2Hg at its relaxed geometry.

It has space group P6_3/mmc (No. 194), with a = 4.1803 Å, b = 4.1803 Å, c = 9.5782 Å, α = 90.00°, β = 90.00° and γ = 120.00°. The distinct sites, in fractional coordinates, are Si at (0.0000, 0.0000, 0.1241) and Hg at (0.3333, 0.6667, 0.2500).

The value obtained for the energy relative to the lowest polymorph listed for this composition is 0.357 eV per atom. Its theoretical density is 5.88 g/cm3. The calculated total energy comes out at -3.047 eV per atom. For the formation energy without anion corrections, the calculation gives 0.669 eV/atom.


Question: Which of these has the highest calculated total energy?
Answer: SiHg2


Question: Number 4 is which compound?
Answer: Si2Hg


Question: formation energy without anion corrections of number 4 (Si2Hg)?
Answer: 0.669 eV/atom


Question: Look up the calculated total energy of the first one.
Answer: -2.034 eV per atom